DFT (PBE) results for a relaxed PmGdMgZn crystal.

a b c (Å): 5.2736 5.2736 5.2736
angles (deg): 60.00 60.00 60.00
Each line ends with the local moment (μB).
Atoms (fractional coordinates):
Zn1 0.5000 0.5000 0.5000  0.00
Gd1 0.2500 0.2500 0.2500  -7.25
Mg1 0.0000 0.0000 0.0000  0.00
Pm1 0.7500 0.7500 0.7500  -0.16

- space group = F-43m (216)
- energy relative to the elements (eV/atom) = -0.19
- calculated density (kg/m3) = 6276